[1]
An optimized crystal structure of Ba3Hg2Bi2, computed with PBE.

Unit cell a=5.5915 b=5.8781 c=10.1581 alpha=101.52 beta=90.76 gamma=117.09
Last column: nearest neighbours and their distance in Å.
Sites, in units of the cell vectors:
Ba1 0.0000 0.0000 0.0000  6 Bi 3.67-3.87, 2 Hg 3.72
Ba2 0.2685 0.5596 0.7104  4 Hg 3.45-3.65, 3 Bi 3.55-3.58
Ba3 0.7315 0.4404 0.2896  4 Hg 3.45-3.65, 3 Bi 3.55-3.58
Hg1 0.0859 0.1201 0.3750  1 Hg 3.10, 2 Ba 3.45-3.46
Hg2 0.9141 0.8799 0.6250  1 Hg 3.10, 2 Ba 3.45-3.46
Bi1 0.3747 0.7422 0.1697  6 Ba 3.55-3.87, 2 Hg 3.66-3.87
Bi2 0.6253 0.2578 0.8303  6 Ba 3.55-3.87, 2 Hg 3.66-3.87



[2]
An optimized crystal structure of AcNpIrPd, computed with PBE.

Unit cell a=5.1013 b=5.1013 c=5.1013 alpha=60.00 beta=60.00 gamma=60.00
Last column: nearest neighbours and their distance in Å.
Sites, in units of the cell vectors:
Ac1 0.0000 0.0000 0.0000  4 Ir 3.12, 4 Pd 3.12
Np1 0.5000 0.5000 0.5000  4 Ir 3.12, 4 Pd 3.12
Ir1 0.2500 0.2500 0.2500  4 Np 3.12, 4 Ac 3.12
Pd1 0.7500 0.7500 0.7500  4 Np 3.12, 4 Ac 3.12



Number 1: total magnetization 0.000 μB per atom, V 41.3 A^3/atom, ΔH_f (0 K) -0.66 eV/atom. Number 2: total magnetization 1.082 μB per atom, V 23.5 A^3/atom, ΔH_f (0 K) -0.26 eV/atom.